Version 1
A geometry-optimized CrGaSi structure. Source: Alexandria via LeMat-Bulk, functional GGA-PBE.

The structure in extended XYZ format:
```
6
Lattice="3.1049 0.0000 0.0000 0.0000 3.1049 0.0000 0.0000 0.0000 8.1859" Properties=species:S:1:pos:R:3 pbc="T T T"
Ga 1.5525 1.5525 8.0749
Si 0.0000 0.0000 1.3790
Cr 1.5525 1.5525 2.5461
Si 1.5525 1.5525 5.4720
Ga 0.0000 0.0000 3.9820
Cr 0.0000 0.0000 6.6390
```

Calculated values
- space group = I4mm
- Fermi-level density of states (states/eV per atom) = 0.850
- total magnetic moment (μB per formula unit) = 0.60



Version 2
A geometry-optimized CrGaSi structure. Source: Alexandria via LeMat-Bulk, functional GGA-PBE.

The structure in extended XYZ format:
```
3
Lattice="-1.5508 -1.8657 -1.4545 0.5944 -2.7607 0.1562 -3.8972 -0.5642 4.8757" Properties=species:S:1:pos:R:3 pbc="T T T"
Ga -4.5506 -2.6435 2.9533
Cr -0.9922 -3.4803 0.2344
Si -3.0205 -2.4228 1.0412
```

Calculated values
- space group = P3m1
- Fermi-level density of states (states/eV per atom) = 0.648
- total magnetic moment (μB per formula unit) = 1.39



Going by the computed energies, the most stable comes first: version 1, version 2.



Version 1
A geometry-optimized VCrGaSi structure. Source: Alexandria via LeMat-Bulk, functional GGA-PBE.

The structure in extended XYZ format:
```
4
Lattice="4.0170 0.0000 0.0000 0.0000 2.9216 0.0000 0.0000 0.0000 4.5847" Properties=species:S:1:pos:R:3 pbc="T T T"
Si 2.0085 0.0000 1.3460
V 0.0000 1.4608 2.0181
Ga 2.0085 1.4608 3.6904
Cr 0.0000 0.0000 4.3847
```

Calculated values
- space group = Pmm2
- Fermi-level density of states (states/eV per atom) = 0.543
- total magnetic moment (μB per formula unit) = 0.39



Version 2
A geometry-optimized VCrGaSi structure. Source: Alexandria via LeMat-Bulk, functional GGA-PBE.

The structure in extended XYZ format:
```
4
Lattice="2.9236 -0.0784 -0.1209 -1.3321 4.6284 -0.0830 -1.3446 -2.1989 4.0770" Properties=species:S:1:pos:R:3 pbc="T T T"
V -0.9882 3.4652 1.4184
Ga 1.8362 0.8644 0.8498
Si 0.5030 2.0243 2.9442
Cr -0.9952 0.0974 3.4217
```

Calculated values
- space group = P1
- Fermi-level density of states (states/eV per atom) = 0.651
- total magnetic moment (μB per formula unit) = 0.01



Version 3
A geometry-optimized VCrGaSi structure. Source: Alexandria via LeMat-Bulk, functional GGA-PBE.

The structure in extended XYZ format:
```
4
Lattice="-2.3427 1.0678 0.2208 -1.2824 -3.3026 2.3643 1.8795 2.0154 3.8347" Properties=species:S:1:pos:R:3 pbc="T T T"
Si -1.3173 0.5430 3.8805
Ga -0.0782 2.7959 3.8632
V 0.2857 1.1803 1.8038
Cr -1.2841 -0.8923 1.8936
```

Calculated values
- space group = Pm
- Fermi-level density of states (states/eV per atom) = 0.726
- total magnetic moment (μB per formula unit) = 0.00



Version 4
A geometry-optimized VCrGaSi structure. Source: Alexandria via LeMat-Bulk, functional GGA-PBE.

The structure in extended XYZ format:
```
4
Lattice="-0.7182 0.5040 2.5147 -1.2570 -4.3139 1.8368 3.3622 -2.1920 2.7653" Properties=species:S:1:pos:R:3 pbc="T T T"
Cr 1.9924 -4.7096 3.5632
Ga 0.1255 -3.2004 2.7686
Si 2.2969 -2.1591 3.2224
V 0.3451 -0.7167 2.4319
```

Calculated values
- space group = P1
- Fermi-level density of states (states/eV per atom) = 0.802
- total magnetic moment (μB per formula unit) = 0.00



Going by the computed energies, the most stable comes first: version 1, version 2, version 4, version 3.



Version 1
A geometry-optimized VCrGaSi structure. Source: Alexandria via LeMat-Bulk, functional GGA-PBE.

The structure in extended XYZ format:
```
8
Lattice="4.0088 0.0000 -0.0096 0.0000 3.2075 0.0000 -3.9897 0.0000 8.1026" Properties=species:S:1:pos:R:3 pbc="T T T"
Ga -2.0047 3.2074 6.5750
Si -0.0058 0.0000 4.6478
V -0.0002 1.6037 6.6733
Ga -0.0099 1.6037 2.5237
V 1.9947 0.0000 2.6220
Si 1.9891 1.6038 0.5965
Cr -2.0103 1.6037 4.4793
Cr -0.0155 0.0000 0.4281
```

Calculated values
- space group = Imm2
- Fermi-level density of states (states/eV per atom) = 0.590
- total magnetic moment (μB per formula unit) = 0.00



Version 2
A geometry-optimized VCrGaSi structure. Source: Alexandria via LeMat-Bulk, functional GGA-PBE.

The structure in extended XYZ format:
```
8
Lattice="4.0106 0.0000 0.0000 0.0000 3.1950 0.0000 0.0000 0.0000 8.1482" Properties=species:S:1:pos:R:3 pbc="T T T"
Cr 2.0053 0.0000 4.4693
V 2.0053 1.5975 2.6014
Si 2.0053 1.5975 6.4416
Cr 0.0000 1.5975 0.3952
Ga 0.0000 1.5975 4.5312
V 0.0000 0.0000 6.6755
Ga 2.0053 0.0000 0.4571
Si 0.0000 0.0000 2.3675
```

Calculated values
- space group = Imm2
- Fermi-level density of states (states/eV per atom) = 0.764
- total magnetic moment (μB per formula unit) = 0.05



Going by the computed energies, the most stable comes first: version 1, version 2.



Version 1
A geometry-optimized VCrGaSi structure. Source: Alexandria via LeMat-Bulk, functional GGA-PBE.

The structure in extended XYZ format:
```
8
Lattice="-1.0485 -1.6435 -2.2692 2.2397 -1.9474 0.3756 -7.4891 -6.9721 8.5102" Properties=species:S:1:pos:R:3 pbc="T T T"
Si -2.3045 -2.1455 2.6188
Ga -6.8674 -8.7432 7.5338
Cr -3.9754 -6.0509 4.2475
V -0.9291 -3.2149 0.7858
Cr -0.8264 -0.7694 0.9391
Ga -3.7184 -3.4618 4.2255
Si -5.4535 -7.4270 5.9271
V -5.2693 -4.9055 5.9877
```

Calculated values
- space group = I4mm
- Fermi-level density of states (states/eV per atom) = 0.775
- total magnetic moment (μB per formula unit) = 0.20



Version 2
A geometry-optimized VCrGaSi structure. Source: Alexandria via LeMat-Bulk, functional GGA-PBE.

The structure in extended XYZ format:
```
16
Lattice="3.2753 0.0000 0.0000 0.0000 4.1557 0.0000 0.0000 0.0000 16.2734" Properties=species:S:1:pos:R:3 pbc="T T T"
Cr 1.6377 0.0000 14.7234
Cr 0.0000 2.0778 14.7234
Ga 0.0000 2.0778 8.4870
Cr 0.0000 0.0000 6.5867
Si 1.6377 2.0778 2.8038
Si 0.0000 2.0778 10.9405
V 1.6377 0.0000 4.6094
Ga 1.6377 2.0778 0.3503
Si 0.0000 0.0000 2.8038
Ga 1.6377 0.0000 8.4870
V 1.6377 2.0778 12.7461
V 0.0000 2.0778 4.6094
Si 1.6377 0.0000 10.9405
V 0.0000 0.0000 12.7461
Cr 1.6377 2.0778 6.5867
Ga 0.0000 0.0000 0.3503
```

Calculated values
- space group = Fmm2
- Fermi-level density of states (states/eV per atom) = 0.397
- total magnetic moment (μB per formula unit) = 0.00



Going by the computed energies, the most stable comes first: version 1, version 2.



Version 1
A geometry-optimized VCrGaSi structure. Source: Alexandria via LeMat-Bulk, functional GGA-PBE.

The structure in extended XYZ format:
```
4
Lattice="2.9374 0.0120 0.0197 1.4674 4.0168 0.0102 1.4431 0.4876 4.7515" Properties=species:S:1:pos:R:3 pbc="T T T"
Cr 2.2587 1.0793 3.7843
V 5.1863 3.3395 4.6305
Si 2.2729 1.0574 1.0782
Ga 3.7303 2.8592 2.4758
```

Calculated values
- space group = P1
- Fermi-level density of states (states/eV per atom) = 0.732
- total magnetic moment (μB per formula unit) = 0.00



Version 2
A geometry-optimized VCrGaSi structure. Source: Alexandria via LeMat-Bulk, functional GGA-PBE.

The structure in extended XYZ format:
```
4
Lattice="-0.3114 -0.9870 2.4551 -0.5711 -3.6013 -1.5202 5.0229 -0.6053 -0.4532" Properties=species:S:1:pos:R:3 pbc="T T T"
V 1.2995 -0.4075 0.4770
Cr 3.6173 -1.2877 1.6913
Si 1.8787 -2.8719 0.9645
Ga 4.4434 -2.8336 -0.0897
```

Calculated values
- space group = Pm
- Fermi-level density of states (states/eV per atom) = 0.670
- total magnetic moment (μB per formula unit) = 0.00



Going by the computed energies, the most stable comes first: version 2, version 1.



Version 1
A geometry-optimized VCrGaSi structure. Source: Alexandria via LeMat-Bulk, functional GGA-PBE.

The structure in extended XYZ format:
```
4
Lattice="3.1318 0.0000 0.0000 0.0000 3.1318 0.0000 0.0000 0.0000 5.3446" Properties=species:S:1:pos:R:3 pbc="T T T"
Si 0.0000 0.0000 0.4252
Cr 1.5659 1.5659 1.6873
V 0.0000 0.0000 2.9578
Ga 1.5659 1.5659 4.3557
```

Calculated values
- space group = P4mm
- Fermi-level density of states (states/eV per atom) = 0.627
- total magnetic moment (μB per formula unit) = 0.00



Version 2
A geometry-optimized VCrGaSi structure. Source: Alexandria via LeMat-Bulk, functional GGA-PBE.

The structure in extended XYZ format:
```
8
Lattice="2.9678 0.0000 0.0000 0.0000 2.9685 0.0000 -2.9192 0.0000 13.4503" Properties=species:S:1:pos:R:3 pbc="T T T"
Cr 1.1982 1.4842 2.2489
Si 1.2238 1.4842 7.6566
V -1.7120 1.4842 10.2607
V -0.2524 0.0000 3.5355
Cr -0.2614 0.0000 8.9740
Si 2.6834 0.0000 0.9314
Ga -0.2288 0.0000 11.8702
Ga 1.2308 1.4842 5.1450
```

Calculated values
- space group = Cm
- Fermi-level density of states (states/eV per atom) = 0.917
- total magnetic moment (μB per formula unit) = 0.00



Going by the computed energies, the most stable comes first: version 1, version 2.